Run w
This record from Alexandria via LeMat-Bulk describes a relaxed structure of USnSb. The functional is PBE.

a = 3.866 Å, b = 3.866 Å, c = 10.388 Å
α = 90.00°, β = 90.00°, γ = 90.00°
Element x y z (fractional)
U (0.000, 0.000, 0.000)
U (0.500, 0.500, 0.500)
Sn (0.000, 0.000, 0.322)
Sn (0.500, 0.500, 0.822)
Sb (0.000, 0.000, 0.667)
Sb (0.500, 0.500, 0.167)

Calculated values
theoretical density: 10.23 g/cm3



Run x
This record from Alexandria via LeMat-Bulk describes a relaxed structure of USnSb. The functional is PBE.

a = 5.374 Å, b = 5.374 Å, c = 3.070 Å
α = 90.00°, β = 90.00°, γ = 120.00°
Element x y z (fractional)
U (0.000, 0.000, 0.000)
Sn (0.333, 0.667, 0.500)
Sb (0.667, 0.333, 0.500)

Calculated values
theoretical density: 10.35 g/cm3



What should be chosen as the most stable of them? Choose run w.



Run w
This record from Alexandria via LeMat-Bulk describes a relaxed structure of VSn2Sb2. The functional is PBE.

a = 7.113 Å, b = 7.113 Å, c = 5.204 Å
α = 90.00°, β = 90.00°, γ = 90.00°
Element x y z (fractional)
V (0.000, 0.000, 0.000)
V (0.500, 0.500, 0.000)
Sn (0.172, 0.328, 0.500)
Sn (0.328, 0.828, 0.500)
Sn (0.672, 0.172, 0.500)
Sn (0.828, 0.672, 0.500)
Sb (0.150, 0.650, 0.000)
Sb (0.350, 0.150, 0.000)
Sb (0.650, 0.850, 0.000)
Sb (0.850, 0.350, 0.000)

Calculated values
theoretical density: 6.71 g/cm3



Run x
This record from Alexandria via LeMat-Bulk describes a relaxed structure of VSn2Sb2. The functional is PBE.

a = 4.038 Å, b = 4.038 Å, c = 17.253 Å
α = 90.00°, β = 90.00°, γ = 90.00°
Element x y z (fractional)
V (0.000, 0.000, 0.000)
V (0.500, 0.500, 0.500)
Sn (0.000, 0.000, 0.414)
Sn (0.000, 0.000, 0.586)
Sn (0.500, 0.500, 0.086)
Sn (0.500, 0.500, 0.914)
Sb (0.000, 0.500, 0.250)
Sb (0.000, 0.500, 0.750)
Sb (0.500, 0.000, 0.250)
Sb (0.500, 0.000, 0.750)

Calculated values
theoretical density: 6.28 g/cm3



Run y
This record from Alexandria via LeMat-Bulk describes a relaxed structure of VSn2Sb2. The functional is PBE.

a = 7.353 Å, b = 7.353 Å, c = 4.770 Å
α = 90.00°, β = 90.00°, γ = 90.00°
Element x y z (fractional)
V (0.000, 0.000, 0.000)
V (0.500, 0.500, 0.000)
Sn (0.146, 0.354, 0.000)
Sn (0.354, 0.854, 0.000)
Sn (0.646, 0.146, 0.000)
Sn (0.854, 0.646, 0.000)
Sb (0.166, 0.666, 0.500)
Sb (0.334, 0.166, 0.500)
Sb (0.666, 0.834, 0.500)
Sb (0.834, 0.334, 0.500)

Calculated values
theoretical density: 6.85 g/cm3



What should be chosen as the most stable of them? Choose run w.



Run w
This record from Alexandria via LeMat-Bulk describes a relaxed structure of VSnSb3. The functional is PBE.

a = 5.580 Å, b = 5.580 Å, c = 5.580 Å
α = 90.00°, β = 90.00°, γ = 90.00°
Element x y z (fractional)
V (0.000, 0.000, 0.000)
Sn (0.500, 0.500, 0.500)
Sb (0.000, 0.500, 0.500)
Sb (0.500, 0.000, 0.500)
Sb (0.500, 0.500, 0.000)

Calculated values
theoretical density: 5.11 g/cm3



Run x
This record from Alexandria via LeMat-Bulk describes a relaxed structure of VSnSb3. The functional is PBE.

a = 5.176 Å, b = 5.176 Å, c = 5.176 Å
α = 90.00°, β = 90.00°, γ = 90.00°
Element x y z (fractional)
V (0.000, 0.000, 0.000)
Sn (0.500, 0.500, 0.500)
Sb (0.000, 0.000, 0.500)
Sb (0.000, 0.500, 0.000)
Sb (0.500, 0.000, 0.000)

Calculated values
theoretical density: 6.41 g/cm3



What should be chosen as the most stable of them? Choose run x.



Run w
This record from Alexandria via LeMat-Bulk describes a relaxed structure of SnSb3W. The functional is PBE.

a = 5.292 Å, b = 5.292 Å, c = 5.292 Å
α = 90.00°, β = 90.00°, γ = 90.00°
Element x y z (fractional)
Sn (0.000, 0.000, 0.000)
Sb (0.000, 0.500, 0.500)
Sb (0.500, 0.000, 0.500)
Sb (0.500, 0.500, 0.000)
W (0.500, 0.500, 0.500)

Calculated values
theoretical density: 7.48 g/cm3



Run x
This record from Alexandria via LeMat-Bulk describes a relaxed structure of SnSb3W. The functional is PBE.

a = 5.515 Å, b = 5.515 Å, c = 5.515 Å
α = 90.00°, β = 90.00°, γ = 90.00°
Element x y z (fractional)
Sn (0.000, 0.000, 0.000)
Sb (0.000, 0.000, 0.500)
Sb (0.000, 0.500, 0.000)
Sb (0.500, 0.000, 0.000)
W (0.500, 0.500, 0.500)

Calculated values
theoretical density: 6.61 g/cm3



What should be chosen as the most stable of them? Choose run w.



Run w
This record from Alexandria via LeMat-Bulk describes a relaxed structure of SnSbW2. The functional is PBE.

a = 6.662 Å, b = 6.662 Å, c = 6.662 Å
α = 90.00°, β = 90.00°, γ = 90.00°
Element x y z (fractional)
Sn (0.000, 0.000, 0.000)
Sn (0.000, 0.500, 0.500)
Sn (0.500, 0.000, 0.500)
Sn (0.500, 0.500, 0.000)
Sb (0.000, 0.000, 0.500)
Sb (0.000, 0.500, 0.000)
Sb (0.500, 0.000, 0.000)
Sb (0.500, 0.500, 0.500)
W (0.250, 0.250, 0.250)
W (0.250, 0.250, 0.750)
W (0.250, 0.750, 0.250)
W (0.250, 0.750, 0.750)
W (0.750, 0.250, 0.250)
W (0.750, 0.250, 0.750)
W (0.750, 0.750, 0.250)
W (0.750, 0.750, 0.750)

Calculated values
theoretical density: 13.66 g/cm3



Run x
This record from Alexandria via LeMat-Bulk describes a relaxed structure of SnSbW2. The functional is PBE.

a = 7.720 Å, b = 7.720 Å, c = 5.689 Å
α = 90.00°, β = 90.00°, γ = 90.00°
Element x y z (fractional)
Sn (0.000, 0.000, 0.000)
Sn (0.000, 0.500, 0.250)
Sn (0.500, 0.000, 0.750)
Sn (0.500, 0.500, 0.500)
Sb (0.000, 0.000, 0.500)
Sb (0.000, 0.500, 0.750)
Sb (0.500, 0.000, 0.250)
Sb (0.500, 0.500, 0.000)
W (0.232, 0.750, 0.625)
W (0.250, 0.232, 0.375)
W (0.250, 0.268, 0.875)
W (0.268, 0.750, 0.125)
W (0.732, 0.250, 0.125)
W (0.750, 0.732, 0.875)
W (0.750, 0.768, 0.375)
W (0.768, 0.250, 0.625)

Calculated values
theoretical density: 11.91 g/cm3



What should be chosen as the most stable of them? Choose run w.



Run w
This record from Alexandria via LeMat-Bulk describes a relaxed structure of Y2SnSb. The functional is PBE.

a = 7.611 Å, b = 7.611 Å, c = 7.611 Å
α = 90.00°, β = 90.00°, γ = 90.00°
Element x y z (fractional)
Y (0.250, 0.250, 0.250)
Y (0.250, 0.250, 0.750)
Y (0.250, 0.750, 0.250)
Y (0.250, 0.750, 0.750)
Y (0.750, 0.250, 0.250)
Y (0.750, 0.250, 0.750)
Y (0.750, 0.750, 0.250)
Y (0.750, 0.750, 0.750)
Sn (0.000, 0.000, 0.000)
Sn (0.000, 0.500, 0.500)
Sn (0.500, 0.000, 0.500)
Sn (0.500, 0.500, 0.000)
Sb (0.000, 0.000, 0.500)
Sb (0.000, 0.500, 0.000)
Sb (0.500, 0.000, 0.000)
Sb (0.500, 0.500, 0.500)

Calculated values
theoretical density: 6.30 g/cm3



Run x
This record from Alexandria via LeMat-Bulk describes a relaxed structure of Y2SnSb. The functional is PBE.

a = 4.238 Å, b = 4.238 Å, c = 23.094 Å
α = 90.00°, β = 90.00°, γ = 120.00°
Element x y z (fractional)
Y (0.000, 0.000, 0.247)
Y (0.000, 0.000, 0.753)
Y (0.333, 0.667, 0.420)
Y (0.333, 0.667, 0.913)
Y (0.667, 0.333, 0.087)
Y (0.667, 0.333, 0.580)
Sn (0.000, 0.000, 0.000)
Sn (0.333, 0.667, 0.667)
Sn (0.667, 0.333, 0.333)
Sb (0.000, 0.000, 0.500)
Sb (0.333, 0.667, 0.167)
Sb (0.667, 0.333, 0.833)

Calculated values
theoretical density: 5.80 g/cm3



What should be chosen as the most stable of them? Choose run x.



Run w
This record from Alexandria via LeMat-Bulk describes a relaxed structure of Y2SnSb. The functional is PBE.

a = 4.472 Å, b = 23.866 Å, c = 4.335 Å
α = 90.00°, β = 90.00°, γ = 90.00°
Element x y z (fractional)
Y (0.000, 0.063, 0.250)
Y (0.000, 0.317, 0.250)
Y (0.000, 0.683, 0.750)
Y (0.000, 0.937, 0.750)
Y (0.500, 0.183, 0.750)
Y (0.500, 0.437, 0.750)
Y (0.500, 0.563, 0.250)
Y (0.500, 0.817, 0.250)
Sn (0.000, 0.454, 0.250)
Sn (0.000, 0.546, 0.750)
Sn (0.500, 0.046, 0.750)
Sn (0.500, 0.954, 0.250)
Sb (0.000, 0.188, 0.250)
Sb (0.000, 0.812, 0.750)
Sb (0.500, 0.312, 0.750)
Sb (0.500, 0.688, 0.250)

Calculated values
theoretical density: 6.01 g/cm3



Run x
This record from Alexandria via LeMat-Bulk describes a relaxed structure of Y2SnSb. The functional is PBE.

a = 8.243 Å, b = 8.243 Å, c = 6.911 Å
α = 90.00°, β = 90.00°, γ = 90.00°
Element x y z (fractional)
Y (0.247, 0.250, 0.125)
Y (0.250, 0.747, 0.375)
Y (0.250, 0.753, 0.875)
Y (0.253, 0.250, 0.625)
Y (0.747, 0.750, 0.625)
Y (0.750, 0.247, 0.875)
Y (0.750, 0.253, 0.375)
Y (0.753, 0.750, 0.125)
Sn (0.000, 0.000, 0.500)
Sn (0.000, 0.500, 0.750)
Sn (0.500, 0.000, 0.250)
Sn (0.500, 0.500, 0.000)
Sb (0.000, 0.000, 0.000)
Sb (0.000, 0.500, 0.250)
Sb (0.500, 0.000, 0.750)
Sb (0.500, 0.500, 0.500)

Calculated values
theoretical density: 5.92 g/cm3



What should be chosen as the most stable of them? Choose run w.



Run w
This record from Alexandria via LeMat-Bulk describes a relaxed structure of YSn3Sb. The functional is PBE.

a = 5.639 Å, b = 5.639 Å, c = 5.639 Å
α = 90.00°, β = 90.00°, γ = 90.00°
Element x y z (fractional)
Y (0.000, 0.000, 0.000)
Sn (0.000, 0.500, 0.500)
Sn (0.500, 0.000, 0.500)
Sn (0.500, 0.500, 0.000)
Sb (0.500, 0.500, 0.500)

Calculated values
theoretical density: 5.25 g/cm3



Run x
This record from Alexandria via LeMat-Bulk describes a relaxed structure of YSn3Sb. The functional is PBE.

a = 5.764 Å, b = 5.764 Å, c = 5.764 Å
α = 90.00°, β = 90.00°, γ = 90.00°
Element x y z (fractional)
Y (0.000, 0.000, 0.000)
Sn (0.000, 0.000, 0.500)
Sn (0.000, 0.500, 0.000)
Sn (0.500, 0.000, 0.000)
Sb (0.500, 0.500, 0.500)

Calculated values
theoretical density: 4.92 g/cm3



What should be chosen as the most stable of them? Choose run w.



Run w
This record from Alexandria via LeMat-Bulk describes a relaxed structure of ZnSnSb3. The functional is PBE.

a = 5.695 Å, b = 5.695 Å, c = 5.695 Å
α = 90.00°, β = 90.00°, γ = 90.00°
Element x y z (fractional)
Zn (0.000, 0.000, 0.000)
Sn (0.500, 0.500, 0.500)
Sb (0.000, 0.500, 0.500)
Sb (0.500, 0.000, 0.500)
Sb (0.500, 0.500, 0.000)

Calculated values
theoretical density: 4.94 g/cm3



Run x
This record from Alexandria via LeMat-Bulk describes a relaxed structure of ZnSnSb3. The functional is PBE.

a = 5.262 Å, b = 5.262 Å, c = 5.262 Å
α = 90.00°, β = 90.00°, γ = 90.00°
Element x y z (fractional)
Zn (0.000, 0.000, 0.000)
Sn (0.500, 0.500, 0.500)
Sb (0.000, 0.000, 0.500)
Sb (0.000, 0.500, 0.000)
Sb (0.500, 0.000, 0.000)

Calculated values
theoretical density: 6.26 g/cm3



What should be chosen as the most stable of them? Choose run x.



Run w
This record from Alexandria via LeMat-Bulk describes a relaxed structure of Zn2Sn2Sb. The functional is PBE.

a = 3.867 Å, b = 3.867 Å, c = 16.062 Å
α = 90.00°, β = 90.00°, γ = 90.00°
Element x y z (fractional)
Zn (0.000, 0.500, 0.250)
Zn (0.000, 0.500, 0.750)
Zn (0.500, 0.000, 0.250)
Zn (0.500, 0.000, 0.750)
Sn (0.000, 0.000, 0.108)
Sn (0.000, 0.000, 0.892)
Sn (0.500, 0.500, 0.392)
Sn (0.500, 0.500, 0.608)
Sb (0.000, 0.000, 0.500)
Sb (0.500, 0.500, 0.000)

Calculated values
theoretical density: 6.77 g/cm3



Run x
This record from Alexandria via LeMat-Bulk describes a relaxed structure of Zn2Sn2Sb. The functional is PBE.

a = 4.492 Å, b = 4.492 Å, c = 11.969 Å
α = 90.00°, β = 90.00°, γ = 90.00°
Element x y z (fractional)
Zn (0.000, 0.000, 0.100)
Zn (0.000, 0.000, 0.900)
Zn (0.500, 0.500, 0.400)
Zn (0.500, 0.500, 0.600)
Sn (0.000, 0.500, 0.250)
Sn (0.000, 0.500, 0.750)
Sn (0.500, 0.000, 0.250)
Sn (0.500, 0.000, 0.750)
Sb (0.000, 0.000, 0.500)
Sb (0.500, 0.500, 0.000)

Calculated values
theoretical density: 6.74 g/cm3



Run y
This record from Alexandria via LeMat-Bulk describes a relaxed structure of Zn2Sn2Sb. The functional is PBE.

a = 7.484 Å, b = 7.484 Å, c = 4.157 Å
α = 90.00°, β = 90.00°, γ = 90.00°
Element x y z (fractional)
Zn (0.121, 0.379, 0.000)
Zn (0.379, 0.879, 0.000)
Zn (0.621, 0.121, 0.000)
Zn (0.879, 0.621, 0.000)
Sn (0.181, 0.681, 0.500)
Sn (0.319, 0.181, 0.500)
Sn (0.681, 0.819, 0.500)
Sn (0.819, 0.319, 0.500)
Sb (0.000, 0.000, 0.000)
Sb (0.500, 0.500, 0.000)

Calculated values
theoretical density: 6.99 g/cm3



What should be chosen as the most stable of them? Choose run y.



Run w
This record from Alexandria via LeMat-Bulk describes a relaxed structure of Zr4SnSb. The functional is PBE.

a = 7.558 Å, b = 7.558 Å, c = 5.843 Å
α = 100.86°, β = 100.86°, γ = 116.44°
Element x y z (fractional)
Zr (0.100, 0.710, 0.940)
Zr (0.203, 0.402, 0.639)
Zr (0.290, 0.900, 0.560)
Zr (0.402, 0.203, 0.139)
Zr (0.598, 0.797, 0.861)
Zr (0.710, 0.100, 0.440)
Zr (0.797, 0.598, 0.361)
Zr (0.900, 0.290, 0.060)
Sn (0.391, 0.609, 0.250)
Sn (0.609, 0.391, 0.750)
Sb (0.006, 0.994, 0.250)
Sb (0.994, 0.006, 0.750)

Calculated values
theoretical density: 7.20 g/cm3



Run x
This record from Alexandria via LeMat-Bulk describes a relaxed structure of Zr4SnSb. The functional is PBE.

a = 10.455 Å, b = 3.121 Å, c = 9.602 Å
α = 90.00°, β = 114.88°, γ = 90.00°
Element x y z (fractional)
Zr (0.161, 0.000, 0.351)
Zr (0.166, 0.500, 0.849)
Zr (0.334, 0.000, 0.151)
Zr (0.339, 0.500, 0.649)
Zr (0.661, 0.500, 0.351)
Zr (0.666, 0.000, 0.849)
Zr (0.834, 0.500, 0.151)
Zr (0.839, 0.000, 0.649)
Sn (0.000, 0.000, 0.000)
Sn (0.500, 0.500, 0.000)
Sb (0.000, 0.500, 0.500)
Sb (0.500, 0.000, 0.500)

Calculated values
theoretical density: 7.07 g/cm3



What should be chosen as the most stable of them? Choose run w.



Run w
This record from Alexandria via LeMat-Bulk describes a relaxed structure of ZrSn3Sb. The functional is PBE.

a = 5.571 Å, b = 5.571 Å, c = 5.571 Å
α = 90.00°, β = 90.00°, γ = 90.00°
Element x y z (fractional)
Zr (0.000, 0.000, 0.000)
Sn (0.000, 0.000, 0.500)
Sn (0.000, 0.500, 0.000)
Sn (0.500, 0.000, 0.000)
Sb (0.500, 0.500, 0.500)

Calculated values
theoretical density: 5.47 g/cm3



Run x
This record from Alexandria via LeMat-Bulk describes a relaxed structure of ZrSn3Sb. The functional is PBE.

a = 5.582 Å, b = 5.582 Å, c = 5.582 Å
α = 90.00°, β = 90.00°, γ = 90.00°
Element x y z (fractional)
Zr (0.000, 0.000, 0.000)
Sn (0.000, 0.500, 0.500)
Sn (0.500, 0.000, 0.500)
Sn (0.500, 0.500, 0.000)
Sb (0.500, 0.500, 0.500)

Calculated values
theoretical density: 5.43 g/cm3



What should be chosen as the most stable of them? Choose run w.